# 1
## Ce2PmF8 (GGA-PBE)

Data for an optimized crystal structure of Ce2PmF8.

E_form (uncorrected): -3.8515 eV/atom
Total energy: -6.723 eV per atom

Unit cell a=7.7682 b=7.7682 c=5.5547 alpha=108.85 beta=108.85 gamma=30.15
Fractional positions:
Ce1 0.1796 0.1796 0.1967
Ce2 0.8204 0.8204 0.8033
Pm1 0.5000 0.5000 0.5000
F1 0.0273 0.0273 0.3025
F2 0.2166 0.2166 0.8025
F3 0.3463 0.3463 0.5427
F4 0.4028 0.4028 0.0740
F5 0.5972 0.5972 0.9260
F6 0.6537 0.6537 0.4573
F7 0.7834 0.7834 0.1975
F8 0.9727 0.9727 0.6975

# 2
## CePr2F11 (GGA-PBE)

Data for an optimized crystal structure of CePr2F11.

E_form (uncorrected): -3.6011 eV/atom
Total energy: -6.178 eV per atom

Unit cell a=8.9124 b=8.9124 c=8.9124 alpha=121.39 beta=107.32 gamma=100.45
Fractional positions:
Ce1 0.2500 0.2500 0.0000
Ce2 0.7500 0.7500 0.0000
Pr1 0.1912 0.6649 0.8561
Pr2 0.3088 0.1649 0.4737
Pr3 0.6912 0.8351 0.5263
Pr4 0.8088 0.3351 0.1439
F1 0.0000 0.5000 0.5000
F2 0.0214 0.9503 0.2615
F3 0.0621 0.3341 0.1220
F4 0.1844 0.3925 0.5769
F5 0.1888 0.4503 0.9289
F6 0.2121 0.9402 0.8780
F7 0.2879 0.1659 0.7281
F8 0.3112 0.2401 0.2615
F9 0.3156 0.8925 0.2081
F10 0.4379 0.5598 0.2719
F11 0.4786 0.7401 0.9289
F12 0.5000 0.0000 0.5000
F13 0.5214 0.2599 0.0711
F14 0.5621 0.4402 0.7281
F15 0.6844 0.1075 0.7919
F16 0.6888 0.7599 0.7385
F17 0.7121 0.8341 0.2719
F18 0.7879 0.0598 0.1220
F19 0.8112 0.5497 0.0711
F20 0.8156 0.6075 0.4231
F21 0.9379 0.6659 0.8780
F22 0.9786 0.0497 0.7385

Q: What is the formula in the second record?
A: CePr2F11

Q: Among the records above, which one has the lowest total energy?
A: Ce2PmF8